# Na2SI2

Crystalline Na2SI2 at its relaxed geometry (PBE, Alexandria).

Results
- Fermi-level density of states (states/eV per atom) = 0.02
- formation energy (no corrections) (eV/atom) = -0.511
- DFT total energy (eV per atom) = -2.484
- energy above the lowest structure with this stoichiometry (meV/atom) = 126

Cell: 8.371 8.371 4.401 Å, 90.00 90.00 90.00°
Fractional coordinates of all 10 atoms:
Na (0.152, 0.348, 0.000)
Na (0.348, 0.848, 0.000)
Na (0.652, 0.152, 0.000)
Na (0.848, 0.652, 0.000)
S (0.000, 0.000, 0.500)
S (0.500, 0.500, 0.500)
I (0.169, 0.669, 0.500)
I (0.331, 0.169, 0.500)
I (0.669, 0.831, 0.500)
I (0.831, 0.331, 0.500)